Record 1
Here is an optimized crystal structure of BaTiTeI2 from Alexandria. Energies are from PBE.

Formation energy without anion corrections in meV/atom: 213
Total magnetization in μB/f.u.: 0.04

Lattice parameters (Å, degrees): 6.4629 6.4629 6.6799 90.00 90.00 90.00
Closest atoms and distances in Å follow each position.
Space group P4/mmm (No. 123)
One atom of each set of equivalent atoms:
1 Ba 0.0000 0.0000 0.0000  4 I 3.23, 2 Te 3.34
2 Ti 0.5000 0.5000 0.5000  4 Te 4.57, 8 I 4.65
3 Te 0.0000 0.0000 0.5000  2 Ba 3.34
4 I 0.0000 0.5000 0.0000  2 Ba 3.23

---

Record 2
Here is an optimized crystal structure of Ba8TlTe3I4 from Alexandria. Energies are from PBE.

Formation energy without anion corrections in meV/atom: -1404
Total magnetization in μB/f.u.: 0.00

Lattice parameters (Å, degrees): 10.0995 10.0995 24.7967 90.00 90.00 120.00
Closest atoms and distances in Å follow each position.
Space group R-3m (No. 166, hexagonal axes)
One atom of each set of equivalent atoms:
1 Ba 0.0000 0.0000 0.2419  3 Te 3.46, 3 I 3.69
2 Ba 0.0085 0.5043 0.2420  1 Tl 3.40, 2 Te 3.50, 3 I 3.66-3.75
3 Tl 0.0000 0.0000 0.5000  6 Ba 3.40
4 Te 0.0000 0.5000 0.5000  6 Ba 3.46-3.50
5 I 0.0000 0.0000 0.0000  6 Ba 3.75
6 I 0.0000 0.5000 0.0000  6 Ba 3.66-3.69

---

Record 3
Here is an optimized crystal structure of BaTlTe2I from Alexandria. Energies are from PBE.

Formation energy without anion corrections in meV/atom: -616
Total magnetization in μB/f.u.: 0.00

Lattice parameters (Å, degrees): 5.7953 5.7953 6.2789 90.00 90.00 90.00
Closest atoms and distances in Å follow each position.
Space group P4/mmm (No. 123)
One atom of each set of equivalent atoms:
1 Ba 0.0000 0.0000 0.0000  4 I 4.10, 8 Te 4.27
2 Tl 0.5000 0.5000 0.5000  4 Te 2.90, 2 I 3.14
3 Te 0.0000 0.5000 0.5000  2 Tl 2.90
4 I 0.5000 0.5000 0.0000  2 Tl 3.14